Below is a geometry-optimized CaHgB2Pt structure, with properties calculated at the PBEsol level. Values from VASP.

- magnetic moment (μB per cell) = 0.0
- formation energy (eV per atom) = 1.316
- volume (Å³ per cell) = 100
- calculated density (g cm⁻³) = 7.62

Structure (Quantum ESPRESSO input):
```
&SYSTEM
  ibrav = 0, nat = 5, ntyp = 4
/
ATOMIC_SPECIES
Ca 40.08 Ca.upf
Hg 200.59 Hg.upf
B 10.81 B.upf
Pt 195.08 Pt.upf
ATOMIC_POSITIONS crystal
Ca 0.000 0.000 0.000
Hg 0.000 0.000 0.500
B 0.000 0.500 0.500
B 0.500 0.000 0.500
Pt 0.500 0.500 0.000
CELL_PARAMETERS angstrom
4.130 0.000 0.000
0.000 4.130 0.000
0.000 0.000 5.844
```

---

Below is a geometry-optimized CaZrHg2B structure, with properties calculated at the PBEsol level. Values from VASP.

- magnetic moment (μB per cell) = 1.0
- formation energy (eV per atom) = 0.516
- volume (Å³ per cell) = 100
- calculated density (g cm⁻³) = 9.01

Structure (Quantum ESPRESSO input):
```
&SYSTEM
  ibrav = 0, nat = 5, ntyp = 4
/
ATOMIC_SPECIES
Ca 40.08 Ca.upf
Zr 91.22 Zr.upf
Hg 200.59 Hg.upf
B 10.81 B.upf
ATOMIC_POSITIONS crystal
Ca 0.000 0.000 0.000
Zr 0.500 0.500 0.000
Hg 0.000 0.500 0.500
Hg 0.500 0.000 0.500
B 0.000 0.000 0.500
CELL_PARAMETERS angstrom
4.532 0.000 0.000
0.000 4.532 0.000
0.000 0.000 4.874
```

---

Below is a geometry-optimized Ca3BI structure, with properties calculated at the PBEsol level. Values from VASP.

- magnetic moment (μB per cell) = 0.0
- formation energy from raw total energies (eV per atom) = -0.23
- volume (Å³ per cell) = 147
- calculated density (g cm⁻³) = 2.92

Structure (Quantum ESPRESSO input):
```
&SYSTEM
  ibrav = 0, nat = 5, ntyp = 3
/
ATOMIC_SPECIES
Ca 40.08 Ca.upf
B 10.81 B.upf
I 126.90 I.upf
ATOMIC_POSITIONS crystal
Ca 0.000 0.000 0.500
Ca 0.000 0.500 0.000
Ca 0.500 0.000 0.000
B 0.000 0.000 0.000
I 0.500 0.500 0.500
CELL_PARAMETERS angstrom
5.274 0.000 0.000
0.000 5.274 0.000
0.000 0.000 5.274
```

---

Below is a geometry-optimized CaBPb2I structure, with properties calculated at the PBEsol level. Values from VASP.

- magnetic moment (μB per cell) = 0.2
- formation energy from raw total energies (eV per atom) = 1.09
- volume (Å³ per cell) = 166
- calculated density (g cm⁻³) = 5.91

Structure (Quantum ESPRESSO input):
```
&SYSTEM
  ibrav = 0, nat = 5, ntyp = 4
/
ATOMIC_SPECIES
Ca 40.08 Ca.upf
B 10.81 B.upf
Pb 207.20 Pb.upf
I 126.90 I.upf
ATOMIC_POSITIONS crystal
Ca 0.000 0.000 0.000
B 0.000 0.000 0.500
Pb 0.000 0.500 0.000
Pb 0.500 0.000 0.000
I 0.500 0.500 0.500
CELL_PARAMETERS angstrom
6.070 0.000 0.000
0.000 6.070 0.000
0.000 0.000 4.514
```

---

Below is a geometry-optimized RbCa2InB structure, with properties calculated at the PBEsol level. Values from VASP.

- magnetic moment (μB per cell) = 0.0
- formation energy (eV per atom) = 1.434
- volume (Å³ per cell) = 154
- calculated density (g cm⁻³) = 3.13

Structure (Quantum ESPRESSO input):
```
&SYSTEM
  ibrav = 0, nat = 5, ntyp = 4
/
ATOMIC_SPECIES
Rb 85.47 Rb.upf
Ca 40.08 Ca.upf
In 114.82 In.upf
B 10.81 B.upf
ATOMIC_POSITIONS crystal
Rb 0.000 0.000 0.000
Ca 0.000 0.500 0.000
Ca 0.500 0.000 0.000
In 0.500 0.500 0.500
B 0.000 0.000 0.500
CELL_PARAMETERS angstrom
5.772 0.000 0.000
0.000 5.772 0.000
0.000 0.000 4.636
```

---

Below is a geometry-optimized CaInTcB2 structure, with properties calculated at the PBEsol level. Values from VASP.

- magnetic moment (μB per cell) = 1.5
- formation energy (eV per atom) = 2.500
- volume (Å³ per cell) = 97
- calculated density (g cm⁻³) = 4.69

Structure (Quantum ESPRESSO input):
```
&SYSTEM
  ibrav = 0, nat = 5, ntyp = 4
/
ATOMIC_SPECIES
Ca 40.08 Ca.upf
In 114.82 In.upf
Tc 98.00 Tc.upf
B 10.81 B.upf
ATOMIC_POSITIONS crystal
Ca 0.000 0.000 0.000
In 0.500 0.500 0.500
Tc 0.000 0.000 0.500
B 0.000 0.500 0.000
B 0.500 0.000 0.000
CELL_PARAMETERS angstrom
4.496 0.000 0.000
0.000 4.496 0.000
0.000 0.000 4.807
```

---

Below is a geometry-optimized CaTl2InB structure, with properties calculated at the PBEsol level. Values from VASP.

- magnetic moment (μB per cell) = 0.0
- formation energy (eV per atom) = 0.380
- volume (Å³ per cell) = 121
- calculated density (g cm⁻³) = 7.87

Structure (Quantum ESPRESSO input):
```
&SYSTEM
  ibrav = 0, nat = 5, ntyp = 4
/
ATOMIC_SPECIES
Ca 40.08 Ca.upf
Tl 204.38 Tl.upf
In 114.82 In.upf
B 10.81 B.upf
ATOMIC_POSITIONS crystal
Ca 0.000 0.000 0.000
Tl 0.000 0.500 0.500
Tl 0.500 0.000 0.500
In 0.500 0.500 0.000
B 0.500 0.500 0.500
CELL_PARAMETERS angstrom
5.012 0.000 0.000
0.000 5.012 0.000
0.000 0.000 4.827
```

---

Below is a geometry-optimized Ca2BIrPd structure, with properties calculated at the PBEsol level. Values from VASP.

- magnetic moment (μB per cell) = 0.0
- formation energy (eV per atom) = -0.150
- volume (Å³ per cell) = 99
- calculated density (g cm⁻³) = 6.53

Structure (Quantum ESPRESSO input):
```
&SYSTEM
  ibrav = 0, nat = 5, ntyp = 4
/
ATOMIC_SPECIES
Ca 40.08 Ca.upf
B 10.81 B.upf
Ir 192.22 Ir.upf
Pd 106.42 Pd.upf
ATOMIC_POSITIONS crystal
Ca 0.000 0.500 0.000
Ca 0.500 0.000 0.000
B 0.000 0.000 0.000
Ir 0.000 0.000 0.500
Pd 0.500 0.500 0.500
CELL_PARAMETERS angstrom
5.030 0.000 0.000
0.000 5.030 0.000
0.000 0.000 3.917
```